Compound: KYNiF2
Source: Alexandria via LeMat-Bulk
Functional: GGA+U
Structure: optimized geometry

Calculated values
E_tot = -3.45 eV per atom

The structure in extended XYZ format:
```
5
Lattice="4.4945 0.0000 0.0000 0.0000 4.4945 0.0000 0.0000 0.0000 5.0722" Properties=species:S:1:pos:R:3 pbc="T T T"
F 2.2472 0.0000 0.0000
F 0.0000 2.2472 0.0000
K 0.0000 0.0000 0.0000
Ni 0.0000 0.0000 2.5361
Y 2.2472 2.2472 2.5361
```